VASP calculation (GGA+U) on KNiF3 after structural relaxation. Values from VASP.

Values from the calculation:
**Calculated total energy**: -3.2242 eV/atom
**N(E_F)**: 2.8 states/eV/f.u.
**Symmetry**: I-4m2 (119)

Cell and atoms, written as Quantum ESPRESSO input:
```
&SYSTEM
  ibrav = 0, nat = 10, ntyp = 3
/
ATOMIC_SPECIES
F 19.00 F.upf
Ni 58.69 Ni.upf
K 39.10 K.upf
CELL_PARAMETERS angstrom
-0.219 0.943 -4.053
1.426 -3.796 -0.960
-8.660 -4.832 -2.798
ATOMIC_POSITIONS crystal
F 0.116 0.869 0.767
F 0.636 0.884 0.233
F 0.116 0.364 0.767
F 0.678 0.678 0.644
F 0.322 0.322 0.356
F 0.131 0.884 0.233
Ni 0.643 0.143 0.715
Ni 0.857 0.357 0.285
K 0.250 0.750 0.500
K 0.000 0.000 0.000
```